Entry 1:
{"formula": "VTcMoI2", "functional": "PBE-GGA", "state": "optimized geometry", "raw_formation_energy_ev_per_atom": 1.56, "spacegroup": "P4/mmm (123)", "dos_ef_per_ev_cell": 4.81, "cell": [[5.474, 0.000, 0.000], [0.000, 5.474, 0.000], [0.000, 0.000, 4.589]], "species": ["I", "I", "Mo", "Tc", "V"], "fractional_positions": [[0.000, 0.500, 0.000], [0.500, 0.000, 0.000], [0.500, 0.500, 0.500], [0.000, 0.000, 0.000], [0.000, 0.000, 0.500]]}

---

Entry 2:
{"formula": "ZnTcMo2I", "functional": "PBE-GGA", "state": "optimized geometry", "raw_formation_energy_ev_per_atom": 2.39, "spacegroup": "P4/mmm (123)", "dos_ef_per_ev_cell": 4.83, "cell": [[-0.742, -2.394, -4.215], [4.862, -0.399, -0.629], [-0.036, -4.261, 2.426]], "species": ["I", "Zn", "Mo", "Mo", "Tc"], "fractional_positions": [[0.000, 0.000, 0.000], [0.000, 0.500, 0.000], [0.000, 0.000, 0.500], [0.500, 0.000, 0.000], [0.500, 0.500, 0.500]]}

---

Entry 3:
{"formula": "Te2MoI", "functional": "PBE-GGA", "state": "optimized geometry", "raw_formation_energy_ev_per_atom": 0.33, "spacegroup": "I-42d (122)", "dos_ef_per_ev_cell": 3.03, "relative_energy_mev_per_atom": 472, "cell": [[7.467, 0.000, 0.000], [0.000, 7.467, 0.000], [3.734, 3.734, 5.478]], "species": ["I", "I", "Mo", "Mo", "Te", "Te", "Te", "Te"], "fractional_positions": [[0.000, 0.000, 0.000], [0.750, 0.250, 0.500], [0.500, 0.500, 0.000], [0.250, 0.750, 0.500], [0.523, 0.125, 0.250], [0.227, 0.625, 0.250], [0.375, 0.477, 0.750], [0.875, 0.773, 0.750]]}

---

Entry 4:
{"formula": "Te2MoI", "functional": "PBE-GGA", "state": "optimized geometry", "raw_formation_energy_ev_per_atom": -0.02, "spacegroup": "R-3m (166)", "dos_ef_per_ev_cell": 3.07, "relative_energy_mev_per_atom": 118, "cell": [[2.015, 0.000, 12.368], [-1.008, 1.745, 12.368], [-1.008, -1.745, 12.368]], "species": ["I", "Mo", "Te", "Te"], "fractional_positions": [[0.000, 0.000, 0.000], [0.500, 0.500, 0.500], [0.884, 0.884, 0.884], [0.116, 0.116, 0.116]]}

---

Entry 5:
{"formula": "TeMo3I", "functional": "PBE-GGA", "state": "optimized geometry", "raw_formation_energy_ev_per_atom": 1.97, "spacegroup": "Pm-3m (221)", "dos_ef_per_ev_cell": 6.87, "relative_energy_mev_per_atom": 0, "cell": [[-0.403, 0.830, 4.899], [-4.419, -2.307, 0.027], [2.272, -4.340, 0.923]], "species": ["I", "Mo", "Mo", "Mo", "Te"], "fractional_positions": [[0.500, 0.500, 0.500], [0.000, 0.500, 0.000], [0.000, 0.000, 0.500], [0.500, 0.000, 0.000], [0.000, 0.000, 0.000]]}

---

Entry 6:
{"formula": "Te10Mo3I10", "functional": "PBE-GGA", "state": "optimized geometry", "raw_formation_energy_ev_per_atom": -0.23, "spacegroup": "P-1 (2)", "cell": [[-3.888, -0.746, 10.505], [8.218, -1.582, 7.674], [0.333, 17.209, 5.886]], "species": ["Te", "Te", "Te", "Te", "Te", "Te", "Te", "Te", "Te", "Te", "Te", "Te", "Te", "Te", "Te", "Te", "Te", "Te", "Te", "Te", "Mo", "Mo", "Mo", "Mo", "Mo", "Mo", "I", "I", "I", "I", "I", "I", "I", "I", "I", "I", "I", "I", "I", "I", "I", "I", "I", "I", "I", "I"], "fractional_positions": [[0.942, 0.761, 0.724], [0.058, 0.239, 0.276], [0.740, 0.477, 0.717], [0.260, 0.523, 0.283], [0.893, 0.562, 0.601], [0.107, 0.438, 0.399], [0.833, 0.472, 0.897], [0.167, 0.528, 0.103], [0.051, 0.537, 0.873], [0.949, 0.463, 0.127], [0.545, 0.737, 0.853], [0.455, 0.263, 0.147], [0.607, 0.949, 0.813], [0.393, 0.051, 0.187], [0.667, 0.942, 0.620], [0.333, 0.058, 0.380], [0.197, 0.440, 0.652], [0.803, 0.560, 0.348], [0.913, 0.853, 0.923], [0.087, 0.147, 0.077], [0.720, 0.729, 0.717], [0.280, 0.271, 0.283], [0.947, 0.522, 0.750], [0.053, 0.478, 0.250], [0.796, 0.723, 0.857], [0.204, 0.277, 0.143], [0.492, 0.790, 0.649], [0.508, 0.210, 0.351], [0.785, 0.865, 0.469], [0.215, 0.135, 0.531], [0.826, 0.083, 0.630], [0.174, 0.917, 0.370], [0.092, 0.244, 0.739], [0.908, 0.756, 0.261], [0.387, 0.414, 0.736], [0.613, 0.586, 0.264], [0.226, 0.648, 0.557], [0.774, 0.352, 0.443], [0.690, 0.780, 0.018], [0.310, 0.220, 0.982], [0.766, 0.118, 0.914], [0.234, 0.882, 0.086], [0.151, 0.854, 0.822], [0.849, 0.146, 0.178], [0.558, 0.439, 0.883], [0.442, 0.561, 0.117]]}

---

Entry 7:
{"formula": "Te2MoI", "functional": "PBE-GGA", "state": "optimized geometry", "raw_formation_energy_ev_per_atom": 0.81, "spacegroup": "Fm-3m (225)", "dos_ef_per_ev_cell": 2.06, "relative_energy_mev_per_atom": 946, "cell": [[0.634, 1.877, 4.848], [0.526, 5.154, 0.765], [-3.853, 2.716, 2.281]], "species": ["I", "Mo", "Te", "Te"], "fractional_positions": [[0.500, 0.500, 0.500], [0.000, 0.000, 0.000], [0.250, 0.250, 0.250], [0.750, 0.750, 0.750]]}

---

Entry 8:
{"formula": "TeMo2I", "functional": "PBE-GGA", "state": "optimized geometry", "raw_formation_energy_ev_per_atom": 0.71, "spacegroup": "Fm-3m (225)", "dos_ef_per_ev_cell": 3.10, "relative_energy_mev_per_atom": 0, "cell": [[1.432, -2.009, 4.054], [1.378, 2.718, 3.638], [-2.704, 0.311, 3.887]], "species": ["I", "Mo", "Mo", "Te"], "fractional_positions": [[0.500, 0.500, 0.500], [0.250, 0.250, 0.250], [0.750, 0.750, 0.750], [0.000, 0.000, 0.000]]}